1.
Entry from Alexandria: crystalline TaTlTeAu2 at its relaxed geometry (PBE-GGA).

Values from the calculation:
- Formation energy without anion corrections: 0.980 eV/atom
- Magnetic moment: 0.38 μB/atom
- Crystal system: tetragonal
- V: 29.44 A^3/atom
- Energy relative to the lowest polymorph listed for this composition: 0.00 eV per formula unit
- Mass density: 10.23 g cm⁻³

Cell lengths 5.3064, 5.2281, 5.3064 Å; angles 90.00, 90.00, 90.00 degrees
Site moments in Bohr magnetons follow the coordinates.
Sites, in units of the cell vectors:
Tl  0.5000  0.5000  0.5000  0.03
Te  0.0000  0.0000  0.0000  -0.03
Au  0.0000  0.0000  0.5000  0.02
Au  0.5000  0.0000  0.0000  0.01
Ta  0.0000  0.5000  0.0000  1.20


2.
Entry from Alexandria: crystalline GePt2Au2 at its relaxed geometry (PBE-GGA).

Values from the calculation:
- Magnetic moment: 0.00 μB/atom
- Crystal system: tetragonal
- V: 18.00 A^3/atom
- Energy relative to the lowest polymorph listed for this composition: 0.00 eV per formula unit
- Mass density: 15.80 g cm⁻³

Cell lengths 6.4899, 6.4899, 4.2746 Å; angles 90.00, 90.00, 90.00 degrees
Sites, in units of the cell vectors:
Ge  0.0000  0.0000  0.0000
Ge  0.5000  0.5000  0.0000
Au  0.1573  0.6573  0.5000
Au  0.6573  0.8427  0.5000
Au  0.8427  0.3427  0.5000
Au  0.3427  0.1573  0.5000
Pt  0.3511  0.8511  0.0000
Pt  0.8511  0.6489  0.0000
Pt  0.6489  0.1489  0.0000
Pt  0.1489  0.3511  0.0000


3.
Entry from Alexandria: crystalline RbSr2Sn2 at its relaxed geometry (PBE-GGA).

Values from the calculation:
- Magnetic moment: 0.00 μB/atom
- Crystal system: tetragonal
- V: 37.45 A^3/atom
- Energy relative to the lowest polymorph listed for this composition: 0.00 eV per formula unit
- Mass density: 4.42 g cm⁻³

Cell lengths 10.1929, 10.1929, 3.6043 Å; angles 90.00, 90.00, 90.00 degrees
Sites, in units of the cell vectors:
Sr  0.3734  0.8734  0.0000
Sr  0.8734  0.6266  0.0000
Sr  0.6266  0.1266  0.0000
Sr  0.1266  0.3734  0.0000
Sn  0.1711  0.6711  0.5000
Sn  0.6711  0.8289  0.5000
Sn  0.8289  0.3289  0.5000
Sn  0.3289  0.1711  0.5000
Rb  0.0000  0.0000  0.0000
Rb  0.5000  0.5000  0.0000


4.
Entry from Alexandria: crystalline Sr2LiBiO4 at its relaxed geometry (PBE-GGA).

Values from the calculation:
- Formation energy without anion corrections: -2.018 eV/atom
- Magnetic moment: 0.00 μB/atom
- Crystal system: monoclinic
- V: 15.84 A^3/atom
- Mass density: 5.96 g cm⁻³

Cell lengths 3.6260, 6.0718, 6.0492 Å; angles 107.88, 90.00, 90.00 degrees
Sites, in units of the cell vectors:
Sr  0.5000  0.0000  0.5000
Sr  0.0000  0.5000  0.5000
Li  0.5000  0.5000  0.0000
Bi  0.0000  0.0000  0.0000
O  0.5000  0.2502  0.2347
O  0.5000  0.7498  0.7653
O  0.0000  0.2375  0.7503
O  0.0000  0.7625  0.2497